A plane-wave DFT calculation with PBE with a Hubbard U was carried out for MgFeCuF6 after structural relaxation.

Cell: 4.7162 4.7162 9.6442 Å, 90.00 90.00 90.00°
Last column: nearest neighbours and their distance in Å.
Space group P4_2nm (No. 102)
One atom of each set of equivalent atoms:
Mg (0.0000, 0.0000, 0.0000) (multiplicity 2)  6 F 1.99-2.05
Fe (0.0000, 0.0000, 0.6662) (multiplicity 2)  6 F 2.01-2.10
Cu (0.0000, 0.0000, 0.3338) (multiplicity 2)  6 F 2.03-2.15
F (0.1962, 0.1962, 0.8363) (multiplicity 4)  1 Cu 2.03, 1 Mg 2.05, 1 Fe 2.10
F (0.1991, 0.1991, 0.1584) (multiplicity 4)  1 Fe 2.01, 1 Mg 2.02, 1 Cu 2.15
F (0.2022, 0.2022, 0.5044) (multiplicity 4)  1 Mg 1.99, 1 Fe 2.06, 1 Cu 2.13

Calculated values
Electronic total energy ... -5.002 eV/atom